No. 1
Below is an optimized crystal structure of NaHgBiSb, with properties calculated at the GGA-PBE level.

The energy above the lowest structure with this stoichiometry comes out at 0.0000 eV per atom.

The space group is Amm2 (No. 38) and the conventional cell measures 5.010, 4.281 and 12.336 Å, with angles of 90.00, 90.00 and 90.00 degrees. Symmetry generates all atoms from Na at (0.000, 0.000, 0.000), Hg at (0.000, 0.000, 0.750), Bi at (0.500, 0.000, 0.205) and Sb at (0.500, 0.000, 0.535).

=====

No. 2
Below is an optimized crystal structure of Na2ScHgBi, with properties calculated at the GGA-PBE level.

Its calculated formation energy is 0.1141 eV/atom.

The space group is P4/mmm (No. 123) and the conventional cell measures 5.282, 5.282 and 5.602 Å, with angles of 90.00, 90.00 and 90.00 degrees. Symmetry generates all atoms from Na at (0.000, 0.500, 0.000), Sc at (0.000, 0.000, 0.500), Hg at (0.000, 0.000, 0.000) and Bi at (0.500, 0.500, 0.500).

=====

No. 3
Below is an optimized crystal structure of NaHgBiSe3, with properties calculated at the GGA-PBE level.

The calculation puts the electronic total energy at -3.144 eV per atom.

The space group is P2_1/m (No. 11) and the conventional cell measures 8.574, 4.263 and 9.806 Å, with angles of 90.00, 99.52 and 90.00 degrees. Symmetry generates all atoms from Na at (0.181, 0.250, 0.221), Hg at (0.105, 0.250, 0.603), Bi at (0.337, 0.750, 0.864), Se at (0.101, 0.250, 0.877), Se at (0.241, 0.750, 0.503) and Se at (0.415, 0.750, 0.149).

=====

No. 4
Below is an optimized crystal structure of Na4HgBi3Se8, with properties calculated at the GGA-PBE level.

The calculation puts the electronic total energy at -3.446 eV per atom.

The space group is C2/m (No. 12) and the conventional cell measures 14.588, 8.324 and 8.614 Å, with angles of 90.00, 123.97 and 90.00 degrees. Symmetry generates all atoms from Na at (0.000, 0.000, 0.000), Na at (0.000, 0.500, 0.000), Na at (0.250, 0.250, 0.000), Hg at (0.000, 0.000, 0.500), Bi at (0.000, 0.500, 0.500), Bi at (0.250, 0.250, 0.500), Se at (0.005, 0.239, 0.271), Se at (0.244, 0.500, 0.253) and Se at (0.246, 0.500, 0.740).

=====

No. 5
Below is an optimized crystal structure of Na2HgBiSe4, with properties calculated at the GGA-PBE level.

The calculation puts the electronic total energy at -3.118 eV per atom.

The space group is C2/c (No. 15) and the conventional cell measures 11.703, 12.223 and 8.338 Å, with angles of 90.00, 134.45 and 90.00 degrees. Symmetry generates all atoms from Na at (0.000, 0.000, 0.000), Na at (0.250, 0.250, 0.000), Hg at (0.000, 0.500, 0.000), Bi at (0.250, 0.250, 0.500), Se at (0.003, 0.239, 0.007) and Se at (0.224, 0.493, 0.494).

=====

No. 6
Below is an optimized crystal structure of NaSmHgBi, with properties calculated at the GGA-PBE level.

Its calculated formation energy is -0.4409 eV/atom.

The space group is F-43m (No. 216) and the conventional cell measures 7.671, 7.671 and 7.671 Å, with angles of 90.00, 90.00 and 90.00 degrees. Symmetry generates all atoms from Na at (0.000, 0.000, 0.000), Sm at (0.000, 0.000, 0.500), Hg at (0.250, 0.250, 0.750) and Bi at (0.250, 0.250, 0.250).

=====

No. 7
Below is an optimized crystal structure of NaSnHg2Bi2, with properties calculated at the GGA-PBE level.

Its calculated formation energy is -0.0259 eV/atom.

The space group is P2_1/m (No. 11) and the conventional cell measures 8.082, 6.050 and 8.526 Å, with angles of 90.00, 113.53 and 90.00 degrees. Symmetry generates all atoms from Na at (0.188, 0.250, 0.499), Sn at (0.120, 0.750, 0.917), Hg at (0.408, 0.009, 0.306), Bi at (0.029, 0.750, 0.235) and Bi at (0.440, 0.250, 0.939).

=====

No. 8
Below is an optimized crystal structure of NaSn2HgBi, with properties calculated at the GGA-PBE level.

Its calculated formation energy is -0.0447 eV/atom.

The space group is Cmcm (No. 63) and the conventional cell measures 6.422, 15.267 and 6.407 Å, with angles of 90.00, 90.00 and 90.00 degrees. Symmetry generates all atoms from Na at (0.000, 0.248, 0.250), Sn at (0.243, 0.500, 0.000), Hg at (0.000, 0.145, 0.750) and Bi at (0.000, 0.341, 0.750).

=====

No. 9
Below is an optimized crystal structure of Na3Sn2Hg2Bi4, with properties calculated at the GGA-PBE level.

Its calculated formation energy is -0.1173 eV/atom.

The space group is P-3m1 (No. 164) and the conventional cell measures 5.1613, 5.1613 and 15.2230 Å, with angles of 90.00, 90.00 and 120.00 degrees. Symmetry generates all atoms from Na at (0.0000, 0.0000, 0.0000), Na at (0.0000, 0.0000, 0.2397), Sn at (0.3333, 0.6667, 0.5711), Hg at (0.3333, 0.6667, 0.1450), Bi at (0.3333, 0.6667, 0.3657) and Bi at (0.3333, 0.6667, 0.9063).

=====

No. 10
Below is an optimized crystal structure of NaSrHgBi, with properties calculated at the GGA-PBE level.

Its calculated formation energy is -0.6036 eV/atom.

The space group is F-43m (No. 216) and the conventional cell measures 7.946, 7.946 and 7.946 Å, with angles of 90.00, 90.00 and 90.00 degrees. Symmetry generates all atoms from Na at (0.000, 0.000, 0.000), Sr at (0.000, 0.000, 0.500), Hg at (0.250, 0.250, 0.750) and Bi at (0.250, 0.250, 0.250).

=====

No. 11
Below is an optimized crystal structure of NaSr2HgBi, with properties calculated at the GGA-PBE level.

Its calculated formation energy is 0.0270 eV/atom.

The space group is P4/mmm (No. 123) and the conventional cell measures 6.277, 6.277 and 5.399 Å, with angles of 90.00, 90.00 and 90.00 degrees. Symmetry generates all atoms from Na at (0.000, 0.000, 0.000), Sr at (0.000, 0.500, 0.000), Hg at (0.500, 0.500, 0.500) and Bi at (0.000, 0.000, 0.500).

=====

No. 12
Below is an optimized crystal structure of NaTbHgBi, with properties calculated at the GGA-PBE level.

Its calculated formation energy is -0.4120 eV/atom.

The space group is F-43m (No. 216) and the conventional cell measures 7.606, 7.606 and 7.606 Å, with angles of 90.00, 90.00 and 90.00 degrees. Symmetry generates all atoms from Na at (0.000, 0.000, 0.000), Tb at (0.000, 0.000, 0.500), Hg at (0.250, 0.250, 0.250) and Bi at (0.250, 0.250, 0.750).